ErAl3Pd (PBE, optimized geometry); SG = P2_1/m; total magnetization = 0.0000 μB per atom; energy of formation from the pure elements = -650 meV/atom; energy above the lowest structure with this stoichiometry = 8 meV per atom
1.0
-3.211 -1.496 2.194
2.069 -6.316 -1.278
4.255 -1.582 5.148
Al Er Pd
6 2 2
direct
0.881 0.654 0.503
0.381 0.410 0.755
0.881 0.264 0.051
0.881 0.677 0.888
0.381 0.021 0.303
0.381 0.998 0.918
0.881 0.145 0.574
0.381 0.530 0.232
0.881 0.883 0.144
0.381 0.791 0.662

Er3Al2Pd6 (PBE, optimized geometry); SG = Im-3m; total magnetization = 0.0000 μB per atom; energy of formation from the pure elements = -899 meV/atom
1.0
7.712 0.000 -2.727
-3.856 6.679 -2.727
0.000 0.000 8.180
Pd Er Al
12 6 4
direct
0.673 0.327 0.000
0.347 0.673 0.673
0.673 0.347 0.673
0.000 0.327 0.673
0.653 0.327 0.327
0.673 0.673 0.347
0.327 0.000 0.673
0.673 0.000 0.327
0.327 0.653 0.327
0.000 0.673 0.327
0.327 0.673 0.000
0.327 0.327 0.653
0.000 0.297 0.297
0.703 0.703 0.000
0.703 0.000 0.703
0.297 0.000 0.297
0.000 0.703 0.703
0.297 0.297 0.000
0.000 0.500 0.000
0.500 0.000 0.000
0.000 0.000 0.500
0.500 0.500 0.500

Er12AlPd6 (PBE, optimized geometry); SG = Im-3; total magnetization = 0.0000 μB per atom; energy of formation from the pure elements = -614 meV/atom; energy above the lowest structure with this stoichiometry = 0 meV per atom
1.0
0.004 8.462 0.947
-1.751 -1.948 -8.102
-5.912 -3.423 5.084
Er Pd Al
12 6 1
direct
0.817 0.706 0.523
0.706 0.523 0.817
0.294 0.112 0.817
0.294 0.477 0.183
0.888 0.183 0.706
0.183 0.294 0.477
0.817 0.294 0.112
0.706 0.888 0.183
0.477 0.183 0.294
0.523 0.817 0.706
0.183 0.706 0.888
0.112 0.817 0.294
0.500 0.138 0.638
0.638 0.500 0.138
0.362 0.500 0.862
0.862 0.362 0.500
0.500 0.862 0.362
0.138 0.638 0.500
0.000 0.000 0.000

Question: Number 2 is which compound?
Answer: Er3Al2Pd6